! TaGeAu | Alexandria | PBE-GGA | optimized geometry; values from VASP
! **Space group**: Cmm2 (35)
! **Magnetization**: 0.0 μB/f.u.
! **Formation energy**: -0.070 eV per atom
&SYSTEM
  ibrav = 0, nat = 3, ntyp = 3
/
ATOMIC_SPECIES
Ta 180.95 Ta.upf
Ge 72.64 Ge.upf
Au 196.97 Au.upf
ATOMIC_POSITIONS crystal
Ta 0.000 0.000 0.000
Ge 0.500 0.500 0.298
Au 0.500 0.500 0.680
CELL_PARAMETERS angstrom
1.831 -2.220 0.000
1.831 2.220 0.000
0.000 0.000 6.775


! TlRe2Se | Alexandria | PBE-GGA | optimized geometry; values from VASP
! **Space group**: C2/m (12)
! **Magnetization**: 0.0 μB/f.u.
! **E_tot**: -27.3 eV per cell
&SYSTEM
  ibrav = 0, nat = 4, ntyp = 3
/
ATOMIC_SPECIES
Tl 204.38 Tl.upf
Re 186.21 Re.upf
Se 78.96 Se.upf
ATOMIC_POSITIONS crystal
Tl 0.000 0.000 0.000
Re 0.247 0.247 0.688
Re 0.753 0.753 0.312
Se 0.500 0.500 0.500
CELL_PARAMETERS angstrom
4.242 -1.506 0.000
4.242 1.506 0.000
-1.277 0.000 5.701


! PaTcBi | Alexandria | PBE-GGA | optimized geometry; values from VASP
! **Space group**: P2_1/m (11)
! **Magnetization**: 0.0 μB/f.u.
! **Formation energy**: -0.104 eV per atom
&SYSTEM
  ibrav = 0, nat = 6, ntyp = 3
/
ATOMIC_SPECIES
Pa 231.04 Pa.upf
Tc 98.00 Tc.upf
Bi 208.98 Bi.upf
ATOMIC_POSITIONS crystal
Pa 0.213 0.250 0.423
Pa 0.787 0.750 0.577
Tc 0.347 0.250 0.702
Tc 0.653 0.750 0.298
Bi 0.077 0.250 0.142
Bi 0.923 0.750 0.858
CELL_PARAMETERS angstrom
3.415 0.000 0.000
0.000 3.469 0.000
-1.643 0.000 12.038


! BiTe2NCl | Alexandria | PBE-GGA | optimized geometry; values from VASP
! **Space group**: P4/mmm (123)
! **Magnetization**: 4.5 μB/f.u.
! **E_tot**: -14.9 eV per cell
&SYSTEM
  ibrav = 0, nat = 5, ntyp = 4
/
ATOMIC_SPECIES
Bi 208.98 Bi.upf
Te 127.60 Te.upf
N 14.01 N.upf
Cl 35.45 Cl.upf
ATOMIC_POSITIONS crystal
Bi 0.000 0.000 0.000
Te 0.000 0.500 0.000
Te 0.500 0.000 0.000
N 0.000 0.000 0.500
Cl 0.500 0.500 0.500
CELL_PARAMETERS angstrom
6.157 0.000 0.000
0.000 6.157 0.000
0.000 0.000 4.416


! Ir3NO | Alexandria | PBE-GGA | optimized geometry; values from VASP
! **Space group**: Pm-3m (221)
! **Magnetization**: 1.9 μB/f.u.
! **E_tot**: -33.5 eV per cell
&SYSTEM
  ibrav = 0, nat = 5, ntyp = 3
/
ATOMIC_SPECIES
Ir 192.22 Ir.upf
N 14.01 N.upf
O 16.00 O.upf
ATOMIC_POSITIONS crystal
Ir 0.000 0.000 0.500
Ir 0.000 0.500 0.000
Ir 0.500 0.000 0.000
N 0.000 0.000 0.000
O 0.500 0.500 0.500
CELL_PARAMETERS angstrom
4.047 0.000 0.000
0.000 4.047 0.000
0.000 0.000 4.047


! TcAg2Ir | Alexandria | PBE-GGA | optimized geometry; values from VASP
! **Space group**: Pmmm (47)
! **Magnetization**: 0.0 μB/f.u.
! **Formation energy**: 0.594 eV per atom
&SYSTEM
  ibrav = 0, nat = 4, ntyp = 3
/
ATOMIC_SPECIES
Tc 98.00 Tc.upf
Ag 107.87 Ag.upf
Ir 192.22 Ir.upf
ATOMIC_POSITIONS crystal
Tc 0.000 0.000 0.000
Ag 0.500 0.500 0.249
Ag 0.500 0.500 0.751
Ir 0.000 0.000 0.500
CELL_PARAMETERS angstrom
2.707 0.000 0.000
0.000 4.476 0.000
0.000 0.000 5.295